[1]
! SnPd3Pt6, relaxed, DFT PBE-GGA; values from VASP
! - DFT total energy (eV/atom) = -5.59
! - formation energy from the elements (kJ/mol of atoms) = -1
! - calculated volume (Å³ per cell) = 332.5
&SYSTEM
  ibrav = 0, nat = 20, ntyp = 3
/
ATOMIC_SPECIES
Pt 195.08 Pt.upf
Pd 106.42 Pd.upf
Sn 118.71 Sn.upf
CELL_PARAMETERS angstrom
2.793 0.000 -0.086
0.000 5.467 0.000
0.745 0.000 21.760
ATOMIC_POSITIONS angstrom
Pt 3.012 5.463 6.486
Pt 1.549 2.730 4.265
Pt 3.451 1.396 19.427
Pt 1.988 2.737 17.409
Pt 1.683 1.338 8.590
Pt 1.855 4.129 13.084
Pt 3.450 4.077 19.426
Pt 0.088 1.390 2.248
Pt 0.525 0.003 15.188
Pt 1.856 1.343 13.085
Pt 1.681 4.124 8.589
Pt 0.086 4.071 2.247
Pd 0.372 0.000 10.880
Pd 1.396 2.733 -0.043
Pd 3.015 2.730 6.514
Pd 0.522 2.737 15.160
Pd 1.991 0.004 17.437
Pd 1.546 5.463 4.237
Sn 0.000 0.000 0.000
Sn 1.769 2.733 10.837

[2]
! SmHo5Te4, relaxed, DFT PBE-GGA; values from VASP
! - DFT total energy (eV/atom) = -4.91
! - formation energy from raw total energies (eV per atom) = -0.890
! - calculated volume (Å³ per cell) = 315.9
&SYSTEM
  ibrav = 0, nat = 10, ntyp = 3
/
ATOMIC_SPECIES
Ho 164.93 Ho.upf
Te 127.60 Te.upf
Sm 150.36 Sm.upf
CELL_PARAMETERS angstrom
-3.224 -2.147 1.529
4.995 -3.108 6.166
-1.720 8.723 2.951
ATOMIC_POSITIONS angstrom
Ho -2.796 3.445 4.613
Ho -0.463 1.661 7.026
Ho 0.514 1.807 3.620
Ho 2.847 0.023 6.033
Ho 0.885 -2.628 3.848
Te 1.217 -0.593 1.733
Te -2.421 1.336 2.442
Te 2.472 2.132 8.204
Te -1.166 4.061 8.913
Sm -1.612 -1.074 0.765

[3]
! CaPd2RuS, relaxed, DFT PBE-GGA; values from VASP
! - DFT total energy (eV/atom) = -3.68
! - formation energy from raw total energies (eV per atom) = 1.483
! - calculated volume (Å³ per cell) = 117.1
&SYSTEM
  ibrav = 0, nat = 5, ntyp = 4
/
ATOMIC_SPECIES
Pd 106.42 Pd.upf
Ca 40.08 Ca.upf
Ru 101.07 Ru.upf
S 32.06 S.upf
CELL_PARAMETERS angstrom
4.849 0.000 0.000
0.000 4.981 0.000
0.000 0.000 4.849
ATOMIC_POSITIONS angstrom
Pd 0.000 0.000 2.424
Pd 2.424 0.000 0.000
Ca 0.000 0.000 0.000
Ru 0.000 2.491 0.000
S 2.424 2.491 2.424

[4]
! Ce3GeAs2Rh9, relaxed, DFT PBE-GGA; values from VASP
! - DFT total energy (eV/atom) = -7.01
! - formation energy from the elements (kJ/mol of atoms) = -46
! - calculated volume (Å³ per cell) = 304.8
&SYSTEM
  ibrav = 0, nat = 15, ntyp = 4
/
ATOMIC_SPECIES
Rh 102.91 Rh.upf
Ce 140.12 Ce.upf
As 74.92 As.upf
Ge 72.64 Ge.upf
CELL_PARAMETERS angstrom
6.601 0.000 0.000
-3.300 5.716 0.000
0.000 0.000 8.077
ATOMIC_POSITIONS angstrom
Rh 5.233 0.789 5.912
Rh 1.367 0.789 5.912
Rh 3.300 4.138 5.912
Rh 3.300 0.000 0.000
Rh 1.933 4.927 2.166
Rh 1.650 2.858 0.000
Rh -1.650 2.858 0.000
Rh -1.933 4.927 2.166
Rh 0.000 1.579 2.166
Ce 0.000 3.811 5.841
Ce 3.300 1.905 2.236
Ce 0.000 0.000 0.000
As 0.000 3.811 1.632
As 3.300 1.905 6.445
Ge 0.000 0.000 4.039

[5]
! Li2NiCl, relaxed, DFT PBE-GGA; values from VASP
! - DFT total energy (eV/atom) = -3.07
! - formation energy from raw total energies (eV per atom) = -0.202
! - calculated volume (Å³ per cell) = 88.1
! - offset from the most stable computed form (eV/atom) = 0.2994
&SYSTEM
  ibrav = 0, nat = 4, ntyp = 3
/
ATOMIC_SPECIES
Li 6.94 Li.upf
Ni 58.69 Ni.upf
Cl 35.45 Cl.upf
CELL_PARAMETERS angstrom
-5.170 -1.316 -1.436
2.184 -2.231 -4.557
-0.798 -0.442 5.449
ATOMIC_POSITIONS angstrom
Li -0.081 -0.096 -0.162
Li -1.412 -1.677 -2.834
Ni -3.730 -1.765 0.508
Cl -0.053 -2.223 -1.053

[6]
! CaSc2Au, relaxed, DFT PBE-GGA; values from VASP
! - DFT total energy (eV/atom) = -4.69
! - formation energy from the elements (kJ/mol of atoms) = -20
! - calculated volume (Å³ per cell) = 93.7
! - offset from the most stable computed form (eV/atom) = 0.1413
&SYSTEM
  ibrav = 0, nat = 4, ntyp = 3
/
ATOMIC_SPECIES
Sc 44.96 Sc.upf
Ca 40.08 Ca.upf
Au 196.97 Au.upf
CELL_PARAMETERS angstrom
4.093 0.000 0.000
0.000 4.748 0.000
0.000 0.000 4.821
ATOMIC_POSITIONS angstrom
Sc 2.046 2.374 0.000
Sc 0.000 0.000 0.000
Ca 0.000 2.374 2.411
Au 2.046 0.000 2.411

[7]
! CePrTlSn, relaxed, DFT PBE-GGA; values from VASP
! - DFT total energy (eV/atom) = -4.74
! - formation energy from the elements (kJ/mol of atoms) = -45
! - calculated volume (Å³ per cell) = 117.8
! - offset from the most stable computed form (eV/atom) = 0.0000
&SYSTEM
  ibrav = 0, nat = 4, ntyp = 4
/
ATOMIC_SPECIES
Pr 140.91 Pr.upf
Tl 204.38 Tl.upf
Sn 118.71 Sn.upf
Ce 140.12 Ce.upf
CELL_PARAMETERS angstrom
-0.926 -3.649 -1.675
3.819 -1.331 0.788
-2.087 -2.317 6.200
ATOMIC_POSITIONS angstrom
Pr 1.244 -2.715 0.158
Tl -0.748 -0.830 2.222
Sn -1.783 -1.979 5.296
Ce 0.156 -3.923 3.391

[8]
! TlTeBr2, relaxed, DFT PBE-GGA; values from VASP
! - DFT total energy (eV/atom) = -2.45
! - formation energy from raw total energies (eV per atom) = -0.238
! - calculated volume (Å³ per cell) = 159.9
! - offset from the most stable computed form (eV/atom) = 0.0715
&SYSTEM
  ibrav = 0, nat = 4, ntyp = 3
/
ATOMIC_SPECIES
Br 79.90 Br.upf
Te 127.60 Te.upf
Tl 204.38 Tl.upf
CELL_PARAMETERS angstrom
4.162 0.000 0.000
0.000 4.162 0.000
0.000 0.000 9.230
ATOMIC_POSITIONS angstrom
Br 0.000 0.000 8.670
Br 2.081 2.081 3.364
Te 0.000 0.000 3.641
Tl 2.081 2.081 7.398

[9]
! SrLa3Rh8, relaxed, DFT PBE-GGA; values from VASP
! - DFT total energy (eV/atom) = -6.87
! - formation energy from the elements (kJ/mol of atoms) = -58
! - calculated volume (Å³ per cell) = 229.7
&SYSTEM
  ibrav = 0, nat = 12, ntyp = 3
/
ATOMIC_SPECIES
Rh 102.91 Rh.upf
La 138.91 La.upf
Sr 87.62 Sr.upf
CELL_PARAMETERS angstrom
-3.665 -3.981 -0.617
1.615 -5.201 -0.077
-1.694 -3.506 8.643
ATOMIC_POSITIONS angstrom
Rh -0.400 -7.278 1.258
Rh -3.090 -11.026 5.311
Rh -3.901 -8.414 5.350
Rh -2.997 -9.599 7.626
Rh -1.249 -9.027 5.621
Rh -1.211 -4.668 1.297
Rh -1.126 -3.256 3.654
Rh -3.050 -6.666 0.987
La -2.054 -9.184 -0.661
La -1.868 -6.342 3.938
La -2.250 -6.510 7.294
Sr -2.430 -9.350 2.647

[10]
! PmHfPb2, relaxed, DFT PBE-GGA; values from VASP
! - DFT total energy (eV/atom) = -5.66
! - formation energy from the elements (kJ/mol of atoms) = -12
! - calculated volume (Å³ per cell) = 106.1
&SYSTEM
  ibrav = 0, nat = 4, ntyp = 3
/
ATOMIC_SPECIES
Pm 145.00 Pm.upf
Pb 207.20 Pb.upf
Hf 178.49 Hf.upf
CELL_PARAMETERS angstrom
-3.102 2.503 -2.084
-0.428 -3.398 -3.444
-3.491 -2.176 2.582
ATOMIC_POSITIONS angstrom
Pm -3.511 -1.535 -1.473
Pb -1.745 -1.088 1.291
Pb -0.214 -1.699 -1.722
Hf -1.551 1.252 -1.042

[11]
! ThNi2Sn2, relaxed, DFT PBE-GGA; values from VASP
! - DFT total energy (eV/atom) = -5.92
! - formation energy from the elements (kJ/mol of atoms) = -50
! - calculated volume (Å³ per cell) = 200.7
&SYSTEM
  ibrav = 0, nat = 10, ntyp = 3
/
ATOMIC_SPECIES
Sn 118.71 Sn.upf
Th 232.04 Th.upf
Ni 58.69 Ni.upf
CELL_PARAMETERS angstrom
-3.714 1.800 1.686
-1.995 -3.985 -0.140
3.284 -1.973 9.343
ATOMIC_POSITIONS angstrom
Sn -1.213 -2.079 5.444
Sn -1.443 0.652 2.020
Sn 1.872 -3.717 8.095
Sn 1.642 -0.987 4.671
Th -0.230 -2.454 2.115
Th 0.658 -0.611 8.000
Ni -2.855 -1.092 0.773
Ni 0.000 0.000 0.000
Ni -0.632 0.164 4.330
Ni 1.060 -3.229 5.785

[12]
! WCN3, relaxed, DFT PBE-GGA; values from VASP
! - DFT total energy (eV/atom) = -7.48
! - formation energy from raw total energies (eV per atom) = 1.955
! - calculated volume (Å³ per cell) = 37.4
&SYSTEM
  ibrav = 0, nat = 5, ntyp = 3
/
ATOMIC_SPECIES
W 183.84 W.upf
C 12.01 C.upf
N 14.01 N.upf
CELL_PARAMETERS angstrom
3.345 0.000 0.000
0.000 3.345 0.000
0.000 0.000 3.345
ATOMIC_POSITIONS angstrom
W 1.673 1.673 1.673
C 0.000 0.000 0.000
N 1.673 0.000 0.000
N 0.000 0.000 1.673
N 0.000 1.673 0.000